Entry 1:
# CuAg

A geometry-optimized CuAg structure (PBE, OQMD).

Cell lengths 2.7844, 2.7844, 19.0307 Å; angles 90.00, 90.00, 90.00 degrees
Atoms (fractional coordinates):
1 Cu 0.5000 0.5000 0.8969
2 Ag 0.5000 0.5000 0.0804
3 Cu 0.0000 0.0000 0.6118
4 Cu 0.0000 0.0000 0.8143
5 Ag 0.5000 0.5000 0.7132
6 Cu 0.5000 0.5000 0.2975
7 Cu 0.0000 0.0000 0.9798
8 Ag 0.0000 0.0000 0.3966
9 Ag 0.0000 0.0000 0.1974
10 Ag 0.5000 0.5000 0.5123

Summary:
- E_form: 0.07 eV per atom

Entry 2:
# Cu3Ag4

A geometry-optimized Cu3Ag4 structure (PBE, OQMD).

Cell lengths 15.9117, 15.9117, 15.9117 Å; angles 10.14, 10.14, 10.14 degrees
Atoms (fractional coordinates):
1 Ag 0.2868 0.2868 0.2868
2 Cu 0.0000 0.0000 0.0000
3 Ag 0.4324 0.4324 0.4324
4 Ag 0.5676 0.5676 0.5676
5 Cu 0.1461 0.1461 0.1461
6 Ag 0.7132 0.7132 0.7132
7 Cu 0.8539 0.8539 0.8539

Summary:
- E_form: 0.09 eV per atom
- Excess energy over the best structure of this formula in the dataset: 1.21 kcal/mol of atoms

Entry 3:
# CuAg8

A geometry-optimized CuAg8 structure (PBE, OQMD).

Cell lengths 6.4369, 6.4369, 8.8296 Å; angles 103.32, 103.32, 25.99 degrees
Atoms (fractional coordinates):
1 Ag 0.3377 0.3377 0.7869
2 Ag 0.6687 0.6687 0.5594
3 Ag 0.3313 0.3313 0.4406
4 Ag 0.3393 0.3393 0.1077
5 Cu 0.0000 0.0000 0.0000
6 Ag 0.6607 0.6607 0.8923
7 Ag 0.6623 0.6623 0.2131
8 Ag 0.9983 0.9983 0.6674
9 Ag 0.0017 0.0017 0.3326

Summary:
- E_form: 0.03 eV per atom
- Excess energy over the best structure of this formula in the dataset: 0.29 kcal/mol of atoms

Question: Among the records above, which one has the highest E_form?
Answer: Cu3Ag4

Question: Among the records above, which one has the lowest E_form?
Answer: CuAg8